The following is a GGA-PBEsol calculation of a relaxed structure of Mn3WO6, from the Alexandria database.

The structure belongs to space group R-3 (No. 148, hexagonal axes); the cell edges are 8.8095, 8.8095 and 10.3272 Å and the angles 90.00°, 90.00° and 120.00°. The asymmetric unit holds Mn at (0.0390, 0.7697, 0.2104), W at (0.0000, 0.0000, 0.0000), W at (0.0000, 0.0000, 0.5000), O at (0.0145, 0.8320, 0.8865) and O at (0.0234, 0.8281, 0.3979).

The density is 6.38 g/cm3. As for the density of states at the Fermi level: 1.40 states/eV/cell. The calculation puts the volume at 11.6 A^3/atom. The calculation puts the uncorrected formation energy at -1.5925 eV/atom.

***

The following is a GGA-PBEsol calculation of a relaxed structure of CeMnSi, from the Alexandria database.

The structure belongs to space group P4/nmm (No. 129, origin choice 2); the cell edges are 4.0952, 4.0952 and 6.3724 Å and the angles 90.00°, 90.00° and 90.00°. The asymmetric unit holds Ce at (0.2500, 0.2500, 0.1951), Mn at (0.2500, 0.7500, 0.5000) and Si at (0.2500, 0.2500, 0.6821).

The density is 6.93 g/cm3. As for the density of states at the Fermi level: 8.85 states/eV/cell. The calculation puts the volume at 17.8 A^3/atom. The calculation puts the uncorrected formation energy at -0.4972 eV/atom.

***

The following is a GGA-PBEsol calculation of a relaxed structure of Tl2CrW, from the Alexandria database.

The structure belongs to space group P4/mmm (No. 123); the cell edges are 4.5198, 4.5198 and 3.6011 Å and the angles 90.00°, 90.00° and 90.00°. The asymmetric unit holds Tl at (0.0000, 0.5000, 0.0000), Cr at (0.0000, 0.0000, 0.5000) and W at (0.5000, 0.5000, 0.5000).

The density is 14.55 g/cm3. As for the density of states at the Fermi level: 3.24 states/eV/cell. The calculation puts the volume at 18.4 A^3/atom. The calculation puts the energy above the most stable polymorph in this dataset at 209.1 meV per atom. Its formation energy from the elements is 1.04 eV per atom.

***

The following is a GGA-PBEsol calculation of a relaxed structure of PPtPb2, from the Alexandria database.

The structure belongs to space group P4mm (No. 99); the cell edges are 3.2962, 3.2962 and 8.0653 Å and the angles 90.00°, 90.00° and 90.00°. The asymmetric unit holds P at (0.0000, 0.0000, 0.0000), Pt at (0.5000, 0.5000, 0.8920), Pb at (0.0000, 0.0000, 0.6233) and Pb at (0.5000, 0.5000, 0.2766).

The density is 12.14 g/cm3. As for the density of states at the Fermi level: 2.14 states/eV/cell. The calculation puts the volume at 21.9 A^3/atom. Its formation energy from the elements is -0.04 eV per atom.

***

The following is a GGA-PBEsol calculation of a relaxed structure of Ni3Sb, from the Alexandria database.

The structure belongs to space group Fm-3m (No. 225); the cell edges are 5.8392, 5.8392 and 5.8392 Å and the angles 90.00°, 90.00° and 90.00°. The asymmetric unit holds Ni at (0.0000, 0.0000, 0.0000), Ni at (0.2500, 0.2500, 0.2500) and Sb at (0.0000, 0.0000, 0.5000).

The density is 9.94 g/cm3. As for the density of states at the Fermi level: 10.93 states/eV/cell. The calculation puts the volume at 12.4 A^3/atom. The calculation puts the uncorrected formation energy at -0.1401 eV/atom. The calculation puts the energy above the most stable polymorph in this dataset at 42.3 meV per atom.

***

The following is a GGA-PBEsol calculation of a relaxed structure of TcBRh3, from the Alexandria database.

The structure belongs to space group Pm-3m (No. 221); the cell edges are 4.5509, 4.5509 and 4.5509 Å and the angles 90.00°, 90.00° and 90.00°. The asymmetric unit holds Tc at (0.0000, 0.0000, 0.0000), B at (0.5000, 0.5000, 0.5000) and Rh at (0.0000, 0.0000, 0.5000).

The density is 7.36 g/cm3. As for the density of states at the Fermi level: 3.80 states/eV/cell. The calculation puts the volume at 18.9 A^3/atom. Its formation energy from the elements is 2.18 eV per atom.

***

The following is a GGA-PBEsol calculation of a relaxed structure of HoSiNi4, from the Alexandria database.

The structure belongs to space group Cmmm (No. 65); the cell edges are 4.9650, 8.0377 and 3.9005 Å and the angles 90.00°, 90.00° and 90.00°. The asymmetric unit holds Ho at (0.0000, 0.0000, 0.0000), Si at (0.0000, 0.5000, 0.5000), Ni at (0.0000, 0.3403, 0.0000) and Ni at (0.2500, 0.2500, 0.5000).

The density is 9.13 g/cm3. As for the density of states at the Fermi level: 7.10 states/eV/cell. The calculation puts the volume at 13.0 A^3/atom. The calculation puts the uncorrected formation energy at -0.6595 eV/atom.

***

The following is a GGA-PBEsol calculation of a relaxed structure of NaCdIrCl2, from the Alexandria database.

The structure belongs to space group P4/mmm (No. 123); the cell edges are 4.6672, 4.6672 and 5.6921 Å and the angles 90.00°, 90.00° and 90.00°. The asymmetric unit holds Na at (0.0000, 0.0000, 0.0000), Cd at (0.5000, 0.5000, 0.0000), Ir at (0.0000, 0.0000, 0.5000) and Cl at (0.0000, 0.5000, 0.5000).

The density is 5.34 g/cm3. As for the density of states at the Fermi level: 3.89 states/eV/cell. The calculation puts the volume at 24.8 A^3/atom. The calculation puts the uncorrected formation energy at 0.1017 eV/atom.

***

The following is a GGA-PBEsol calculation of a relaxed structure of NbZnAgMo2, from the Alexandria database.

The structure belongs to space group P4/mmm (No. 123); the cell edges are 4.6640, 4.6640 and 5.0226 Å and the angles 90.00°, 90.00° and 90.00°. The asymmetric unit holds Nb at (0.0000, 0.0000, 0.0000), Zn at (0.5000, 0.5000, 0.5000), Ag at (0.0000, 0.0000, 0.5000) and Mo at (0.0000, 0.5000, 0.0000).

The density is 6.96 g/cm3. As for the density of states at the Fermi level: 5.71 states/eV/cell. The calculation puts the volume at 21.9 A^3/atom. Its formation energy from the elements is 1.86 eV per atom.

***

The following is a GGA-PBEsol calculation of a relaxed structure of BeZnCl2, from the Alexandria database.

The structure belongs to space group Pm (No. 6); the cell edges are 5.0650, 3.1030 and 5.3249 Å and the angles 90.00°, 111.44° and 90.00°. The asymmetric unit holds Be at (0.0000, 0.0000, 0.0000), Zn at (0.2982, 0.5000, 0.8317), Cl at (0.6404, 0.0000, 0.6801) and Cl at (0.9803, 0.5000, 0.2559).

The density is 3.10 g/cm3. As for the density of states at the Fermi level: 0.09 states/eV/cell. The calculation puts the volume at 19.5 A^3/atom. The calculation puts the uncorrected formation energy at -0.6252 eV/atom. The calculation puts the energy above the most stable polymorph in this dataset at 0.0 meV per atom.

***

The following is a GGA-PBEsol calculation of a relaxed structure of SbAs2Br, from the Alexandria database.

The structure belongs to space group Pm (No. 6); the cell edges are 4.1783, 4.7557 and 5.4164 Å and the angles 90.00°, 110.78° and 90.00°. The asymmetric unit holds Sb at (0.0000, 0.0000, 0.0000), As at (0.6415, 0.0000, 0.3528), As at (0.8213, 0.5000, 0.2246) and Br at (0.3315, 0.5000, 0.7071).

The density is 5.80 g/cm3. As for the density of states at the Fermi level: 1.20 states/eV/cell. The calculation puts the volume at 25.2 A^3/atom. The calculation puts the uncorrected formation energy at 0.0475 eV/atom. The calculation puts the energy above the most stable polymorph in this dataset at 0.0 meV per atom.

***

The following is a GGA-PBEsol calculation of a relaxed structure of PPt2Cl, from the Alexandria database.

The structure belongs to space group Pmmm (No. 47); the cell edges are 2.8386, 4.0072 and 5.8204 Å and the angles 90.00°, 90.00° and 90.00°. The asymmetric unit holds P at (0.0000, 0.0000, 0.0000), Pt at (0.0000, 0.5000, 0.5000), Pt at (0.5000, 0.5000, 0.0000) and Cl at (0.5000, 0.0000, 0.5000).

The density is 11.45 g/cm3. As for the density of states at the Fermi level: 3.60 states/eV/cell. The calculation puts the volume at 16.6 A^3/atom. The calculation puts the uncorrected formation energy at 0.4335 eV/atom. The calculation puts the energy above the most stable polymorph in this dataset at 517.5 meV per atom.

***

The following is a GGA-PBEsol calculation of a relaxed structure of LiMg, from the Alexandria database.

The structure belongs to space group P4/nmm (No. 129, origin choice 2); the cell edges are 3.2929, 3.2929 and 7.3883 Å and the angles 90.00°, 90.00° and 90.00°. The asymmetric unit holds Li at (0.2500, 0.2500, 0.1106) and Mg at (0.2500, 0.2500, 0.6427).

The density is 1.30 g/cm3. As for the density of states at the Fermi level: 1.56 states/eV/cell. The calculation puts the volume at 20.0 A^3/atom. Its formation energy from the elements is -0.05 eV per atom.